Entry 1:
{"formula": "Er8TmPb6", "functional": "PBE", "state": "optimized geometry", "delta_e_f_ev_per_atom": -0.30, "e_tot_ev_per_atom": -4.52, "magmom_total_mub_per_cell": 0.00, "n_ef_per_ev_atom": 0.77, "lattice": [[-0.551, -5.348, -7.278], [-2.491, -8.650, 0.920], [-7.289, -2.943, -2.910]], "species": ["Er", "Er", "Er", "Er", "Er", "Er", "Er", "Er", "Pb", "Pb", "Pb", "Pb", "Pb", "Pb", "Tm"], "fractional_positions": [[0.772, 0.105, 0.685], [0.333, 0.333, 0.000], [0.562, 0.228, 0.315], [0.228, 0.895, 0.315], [0.105, 0.438, 0.685], [0.667, 0.667, 0.000], [0.895, 0.562, 0.315], [0.438, 0.772, 0.685], [0.069, 0.736, 0.794], [0.598, 0.931, 0.206], [0.736, 0.402, 0.794], [0.264, 0.598, 0.206], [0.931, 0.264, 0.206], [0.402, 0.069, 0.794], [0.000, 0.000, 0.000]]}

Entry 2:
{"formula": "Er3Tm5Pb2", "functional": "PBE", "state": "optimized geometry", "delta_e_f_ev_per_atom": 0.09, "e_tot_ev_per_atom": -4.26, "magmom_total_mub_per_cell": 0.00, "n_ef_per_ev_atom": 1.11, "lattice": [[-2.234, -3.428, 4.763], [8.136, -2.211, 6.364], [-4.864, 6.632, 6.629]], "species": ["Er", "Er", "Er", "Er", "Er", "Er", "Pb", "Pb", "Pb", "Pb", "Tm", "Tm", "Tm", "Tm", "Tm", "Tm", "Tm", "Tm", "Tm", "Tm"], "fractional_positions": [[0.750, 0.000, 0.000], [0.617, 0.674, 0.093], [0.883, 0.907, 0.326], [0.117, 0.093, 0.674], [0.383, 0.326, 0.907], [0.250, 0.000, 0.000], [0.855, 0.294, 0.996], [0.145, 0.706, 0.004], [0.355, 0.996, 0.294], [0.645, 0.004, 0.706], [0.396, 0.768, 0.439], [0.750, 0.500, 0.500], [0.499, 0.251, 0.251], [0.896, 0.439, 0.768], [0.604, 0.232, 0.561], [0.104, 0.561, 0.232], [0.001, 0.749, 0.749], [0.250, 0.500, 0.500], [0.501, 0.749, 0.749], [0.999, 0.251, 0.251]]}